Compound: KTeP
Source: Alexandria
Functional: PBE-GGA
Structure: relaxed

abc: 9.396 9.396 3.052
angles: 80.66 80.65 18.69
Positions (direct):
Te1 0.651 0.651 0.349
P1 0.357 0.357 0.643
K1 0.992 0.992 0.008

**E_form (uncorrected)**: 0.315 eV/atom
**Offset from the most stable computed form**: 0.770 eV per atom
**Space group**: I4mm (107)